Entry 1:
DyEr8Sc6 | Alexandria | PBE | optimized geometry; total magnetic moment = 0.00 μB per cell; distance to the lowest polymorph of the same formula = 57 meV/atom; D(E_F) = 1.45 states/eV/atom; energy of formation from the pure elements = 358 kJ/mol of formula units; symmetry = No. 147
1.0
9.000 0.000 0.000
-4.500 7.794 0.000
0.000 0.000 6.312
Dy Er Sc
1 8 6
Direct
0.000 0.000 0.000
0.039 0.690 0.606
0.310 0.348 0.606
0.333 0.667 0.283
0.348 0.039 0.394
0.652 0.961 0.606
0.667 0.333 0.717
0.690 0.652 0.394
0.961 0.310 0.394
0.073 0.401 0.905
0.328 0.927 0.905
0.401 0.328 0.095
0.599 0.672 0.905
0.672 0.073 0.095
0.927 0.599 0.095



Entry 2:
Li2MnGeH | Alexandria | PBE | optimized geometry; energy = -21.97 eV/f.u.; total magnetic moment = 3.48 μB per cell; D(E_F) = 0.44 states/eV/atom; symmetry = No. 123
1.0
3.762 0.000 0.000
0.000 3.762 0.000
0.000 0.000 4.071
Li Mn Ge H
2 1 1 1
Direct
0.000 0.500 0.000
0.500 0.000 0.000
0.000 0.000 0.500
0.500 0.500 0.500
0.000 0.000 0.000



Entry 3:
YCu2P | Alexandria | PBE | optimized geometry; total magnetic moment = 0.00 μB per cell; D(E_F) = 0.59 states/eV/atom; energy of formation from the pure elements = -80 kJ/mol of formula units; symmetry = No. 25
1.0
3.054 0.000 0.000
0.000 3.609 0.000
0.000 0.000 6.081
Y Cu P
1 2 1
Direct
0.000 0.000 0.000
0.000 0.000 0.499
0.500 0.500 0.342
0.500 0.500 0.730



Entry 4:
TbZn2SiIr | Alexandria | PBE | optimized geometry; formation energy without anion corrections = -0.5426 eV per atom; total magnetic moment = 0.00 μB per cell; D(E_F) = 0.49 states/eV/atom; symmetry = No. 44
1.0
-1.922 2.084 5.421
1.922 -2.084 5.421
1.922 2.084 -5.421
Tb Zn Si Ir
1 2 1 1
Direct
0.000 0.000 0.000
0.615 0.615 0.000
0.761 0.261 0.500
0.391 0.391 0.000
0.262 0.762 0.500